## YTlHgPt (PBE)

Data for YTlHgPt after structural relaxation.

As for the calculated formation energy: -477 meV per atom. The value obtained for the calculated total energy is -4.27 eV/atom.

It has space group F-43m (No. 216), with a = 7.125 Å, b = 7.125 Å, c = 7.125 Å, α = 90.00°, β = 90.00° and γ = 90.00°. The distinct sites, in fractional coordinates, are Y at (0.000, 0.000, 0.000), Tl at (0.000, 0.000, 0.500), Hg at (0.250, 0.250, 0.250) and Pt at (0.250, 0.250, 0.750).

---

## Tl2ZnHgPt (PBE)

Data for Tl2ZnHgPt after structural relaxation.

As for the calculated formation energy: -66 meV per atom. The value obtained for the calculated total energy is -2.54 eV/atom.

It has space group P4/mmm (No. 123), with a = 5.347 Å, b = 5.347 Å, c = 4.973 Å, α = 90.00°, β = 90.00° and γ = 90.00°. The distinct sites, in fractional coordinates, are Tl at (0.000, 0.500, 0.000), Zn at (0.000, 0.000, 0.500), Hg at (0.500, 0.500, 0.500) and Pt at (0.000, 0.000, 0.000).

---

## TlZn2HgPt (PBE)

Data for TlZn2HgPt after structural relaxation.

As for the calculated formation energy: -67 meV per atom. The value obtained for the calculated total energy is -2.32 eV/atom.

It has space group P4/mmm (No. 123), with a = 4.954 Å, b = 4.954 Å, c = 5.309 Å, α = 90.00°, β = 90.00° and γ = 90.00°. The distinct sites, in fractional coordinates, are Tl at (0.000, 0.000, 0.000), Zn at (0.000, 0.500, 0.500), Hg at (0.500, 0.500, 0.000) and Pt at (0.000, 0.000, 0.500).